# LiIrOs2

A relaxed LiIrOs2 crystal (GGA-PBE, the Alexandria database).

- Energy above the lowest structure with this stoichiometry: 110.3 meV per atom

Cell lengths 3.8414, 3.8414, 7.4290 Å; angles 90.00, 90.00, 90.00 degrees
Last column: nearest neighbours and their distance in Å.
Space group I-4m2 (No. 119)
Asymmetric unit:
Li  0.0000  0.0000  0.0000 x2  8 Os 2.67-2.72, 4 Ir 2.67
Ir  0.0000  0.5000  0.2500 x2  4 Li 2.67, 8 Os 2.67-2.72
Os  0.0000  0.0000  0.5000 x2  4 Os 2.67, 4 Ir 2.67, 4 Li 2.72
Os  0.0000  0.5000  0.7500 x2  4 Li 2.67, 4 Os 2.67, 4 Ir 2.72